No. 1
# HoTm2Pb3

A geometry-optimized HoTm2Pb3 structure (PBE, Alexandria).

a = 6.367 Å, b = 7.561 Å, c = 8.370 Å
α = 69.36°, β = 70.68°, γ = 69.65°
Sites, in units of the cell vectors:
1 Ho 0.016 0.232 0.023
2 Ho 0.984 0.768 0.977
3 Tm 0.322 0.435 0.309
4 Tm 0.355 0.899 0.356
5 Tm 0.645 0.101 0.644
6 Tm 0.678 0.565 0.691
7 Pb 0.138 0.115 0.655
8 Pb 0.188 0.556 0.672
9 Pb 0.475 0.779 0.991
10 Pb 0.525 0.221 0.009
11 Pb 0.812 0.444 0.328
12 Pb 0.862 0.885 0.345

Summary:
energy above the lowest structure with this stoichiometry = 25.2 meV/atom
SG = P-1
formation enthalpy at 0 K = -38.4 kJ/mol of atoms
spin magnetization = 0.00 μB per formula unit

***

No. 2
# HoTm8Pb6

A geometry-optimized HoTm8Pb6 structure (PBE, Alexandria).

a = 8.365 Å, b = 8.365 Å, c = 8.365 Å
α = 65.25°, β = 65.25°, γ = 65.25°
Sites, in units of the cell vectors:
1 Ho 0.000 0.000 0.000
2 Tm 0.106 0.772 0.438
3 Tm 0.228 0.562 0.894
4 Tm 0.333 0.333 0.333
5 Tm 0.438 0.106 0.772
6 Tm 0.562 0.894 0.228
7 Tm 0.667 0.667 0.667
8 Tm 0.772 0.438 0.106
9 Tm 0.894 0.228 0.562
10 Pb 0.069 0.403 0.735
11 Pb 0.265 0.931 0.597
12 Pb 0.403 0.735 0.069
13 Pb 0.597 0.265 0.931
14 Pb 0.735 0.069 0.403
15 Pb 0.931 0.597 0.265

Summary:
SG = R-3
formation enthalpy at 0 K = -28.1 kJ/mol of atoms
spin magnetization = 0.00 μB per formula unit

***

No. 3
# Ho2Tm2Pb3

A geometry-optimized Ho2Tm2Pb3 structure (PBE, Alexandria).

a = 6.661 Å, b = 6.661 Å, c = 6.384 Å
α = 92.18°, β = 92.18°, γ = 46.34°
Sites, in units of the cell vectors:
1 Ho 0.073 0.073 0.249
2 Ho 0.927 0.927 0.751
3 Tm 0.364 0.364 0.395
4 Tm 0.636 0.636 0.605
5 Pb 0.234 0.234 0.812
6 Pb 0.500 0.500 0.000
7 Pb 0.766 0.766 0.188

Summary:
SG = C2/m
formation enthalpy at 0 K = -26.8 kJ/mol of atoms
spin magnetization = 0.00 μB per formula unit